# 1
Below is an optimized crystal structure of BaMnPtW2, with properties calculated at the PBE-GGA level.

Summary:
Magnetization   4.1 Bohr magnetons per cell
Total DFT energy (no corrections)   -36.221 eV/f.u.

```
data_BaMnPtW2
_chemical_formula_sum 'Ba1 Mn1 Pt1 W2'
_cell_length_a 4.961
_cell_length_b 4.961
_cell_length_c 5.051
_cell_angle_alpha 90.00
_cell_angle_beta 90.00
_cell_angle_gamma 90.00
_symmetry_space_group_name_H-M 'P 4/m m m'
_symmetry_Int_Tables_number 123
_symmetry_space_group_name_Hall '-P 4 2'
loop_
_atom_site_label
_atom_site_type_symbol
_atom_site_fract_x
_atom_site_fract_y
_atom_site_fract_z
Ba1 Ba 0.000 0.000 0.000
Mn1 Mn 0.500 0.500 0.000
Pt1 Pt 0.500 0.500 0.500
W1 W 0.000 0.500 0.500
```

---

# 2
Below is an optimized crystal structure of BaMnZn2Pt, with properties calculated at the PBE-GGA level.

Summary:
Magnetization   3.9 Bohr magnetons per cell
Total DFT energy (no corrections)   -16.828 eV/f.u.

```
data_BaMnZn2Pt
_chemical_formula_sum 'Ba1 Mn1 Zn2 Pt1'
_cell_length_a 4.766
_cell_length_b 4.766
_cell_length_c 6.006
_cell_angle_alpha 90.00
_cell_angle_beta 90.00
_cell_angle_gamma 90.00
_symmetry_space_group_name_H-M 'P 4/m m m'
_symmetry_Int_Tables_number 123
_symmetry_space_group_name_Hall '-P 4 2'
loop_
_atom_site_label
_atom_site_type_symbol
_atom_site_fract_x
_atom_site_fract_y
_atom_site_fract_z
Ba1 Ba 0.000 0.000 0.000
Mn1 Mn 0.000 0.000 0.500
Zn1 Zn 0.000 0.500 0.500
Pt1 Pt 0.500 0.500 0.000
```

---

Calculated density list, top to bottom, in g/cm3: 10.09, 6.31
Fermi-level density of states list, top to bottom, in states/eV per cell: 7.83, 4.24